# 1
10
Lattice="-3.912 -0.947 -1.729 -1.402 -1.366 3.919 -3.701 10.819 2.448" Properties=species:S:1:pos:R:3 comment="Nd2PuAl4Au3 | the Alexandria database | PBE-GGA | relaxed" sg="P-4m2 (115)" formation_energy_mev_per_atom=-486 pbc="T T T"
Al -2.657 -1.156 1.095
Al 0.000 0.000 0.000
Al -1.927 2.901 2.770
Al -4.430 6.762 0.773
Au -1.141 0.604 2.251
Au -5.216 9.059 1.292
Au -1.850 5.410 1.224
Nd -3.542 7.624 3.839
Nd -2.815 2.038 -0.296
Pu -4.507 4.253 2.319

---

# 2
16
Lattice="10.481 0.000 0.000 0.000 10.481 0.000 0.000 0.000 10.481" Properties=species:S:1:pos:R:3 comment="KSb | the Alexandria database | PBE-GGA | relaxed" e_form_raw_mev_per_atom=50 sg="I-43m (217)" polymorph_energy_ev_per_fu=0.98 pbc="T T T"
Sb 1.095 9.387 1.095
Sb 4.146 6.335 6.335
Sb 9.387 9.387 9.387
Sb 9.387 1.095 1.095
Sb 6.335 4.146 6.335
Sb 1.095 1.095 9.387
Sb 6.335 6.335 4.146
Sb 4.146 4.146 4.146
K 7.383 7.383 7.383
K 7.383 3.099 3.099
K 2.142 8.339 8.339
K 3.099 3.099 7.383
K 8.339 8.339 2.142
K 8.339 2.142 8.339
K 3.099 7.383 3.099
K 2.142 2.142 2.142

---

# 3
4
Lattice="-2.100 -1.721 -0.651 1.795 -2.133 -0.150 -1.558 -2.042 10.422" Properties=species:S:1:pos:R:3 comment="K2IrRh | the Alexandria database | PBE-GGA | relaxed" sg="P4/mmm (123)" polymorph_energy_ev_per_fu=1.91 formation_energy_mev_per_atom=855 pbc="T T T"
K -1.556 -2.040 10.408
K -0.781 -1.024 5.226
Ir -1.321 -3.459 7.416
Rh -0.542 -2.438 2.205

---

# 4
5
Lattice="-3.701 1.112 4.384 -0.729 -5.737 0.840 4.837 -0.017 4.087" Properties=species:S:1:pos:R:3 comment="CsSbTe2I | the Alexandria database | PBE-GGA | relaxed" e_form_raw_mev_per_atom=-389 sg="P4/mmm (123)" polymorph_energy_ev_per_fu=0.00 pbc="T T T"
Te -1.851 0.556 2.192
Te -0.365 -2.869 0.420
Cs 0.203 -2.321 4.656
Sb 0.000 0.000 0.000
I 2.418 -0.008 2.044

---

# 5
4
Lattice="4.546 0.000 0.000 2.273 3.937 0.000 2.273 1.312 3.712" Properties=species:S:1:pos:R:3 comment="TmZnNiPt | the Alexandria database | PBE-GGA | relaxed" sg="F-43m (216)" formation_energy_mev_per_atom=-642 pbc="T T T"
Ni 2.273 1.312 0.928
Zn 4.546 2.625 1.856
Pt 6.819 3.937 2.784
Tm 0.000 0.000 0.000

---

# 6
4
Lattice="-4.515 6.575 -3.203 -3.713 5.021 -5.907 -6.284 4.081 -4.212" Properties=species:S:1:pos:R:3 comment="CoRePb2 | the Alexandria database | PBE-GGA | relaxed" sg="R-3m (166)" polymorph_energy_ev_per_fu=1.97 formation_energy_mev_per_atom=956 pbc="T T T"
Co -10.884 11.758 -9.992
Pb -0.075 0.081 -0.069
Pb -7.182 7.758 -6.593
Re -3.628 3.919 -3.331